[1]
VASP calculation (PBE) on an optimized crystal structure of LaNbCr3.

Calculated values
**Space group**: Pm-3m (221)
**VASP energy**: -6.86 eV per atom
**Volume**: 91.2 Å³/cell

abc: 4.502 4.502 4.502
angles: 90.00 90.00 90.00
Sites, in units of the cell vectors:
La: 0.000 0.000 0.000
Nb: 0.500 0.500 0.500
Cr: 0.000 0.000 0.500
Cr: 0.000 0.500 0.000
Cr: 0.500 0.000 0.000

***

[2]
VASP calculation (PBE) on an optimized crystal structure of La2Nb2Cr.

Calculated values
**Space group**: P4/mbm (127)
**VASP energy**: -6.71 eV per atom
**Volume**: 248.7 Å³/cell

abc: 8.730 8.730 3.263
angles: 90.00 90.00 90.00
Sites, in units of the cell vectors:
La: 0.206 0.294 0.000
La: 0.294 0.794 0.000
La: 0.706 0.206 0.000
La: 0.794 0.706 0.000
Nb: 0.099 0.599 0.500
Nb: 0.401 0.099 0.500
Nb: 0.599 0.901 0.500
Nb: 0.901 0.401 0.500
Cr: 0.000 0.000 0.000
Cr: 0.500 0.500 0.000

***

N(E_F) list, top to bottom, in states/eV per cell: 5.03; 14.64
Formation enthalpy at 0 K list, top to bottom, in eV per atom: 1.9142; 1.2136